*one*
{
  "formula": "SrTl2As",
  "functional": "PBE",
  "state": "relaxed",
  "cell": [[-2.0050, 2.5338, 5.7955], [2.0050, -2.5338, 5.7955], [2.0050, 2.5338, -5.7955]],
  "species": ["Sr", "Tl", "Tl", "As"],
  "fractional_positions": [[0.0000, 0.0000, 0.0000], [0.2876, 0.7876, 0.5000], [0.7124, 0.2124, 0.5000], [0.5000, 0.5000, 0.0000]],
  "sg": "Immm (71)",
  "total_magnetization_mub_per_fu": 0.00,
  "vol_a3_per_fu": 117.8,
  "mass_density_g_cm3": 8.06,
  "dos_ef_per_ev_atom": 0.396
}

=====

*two*
{
  "formula": "SrTl2As",
  "functional": "PBE",
  "state": "relaxed",
  "cell": [[3.1723, -3.6234, 0.0000], [3.1723, 3.6234, 0.0000], [0.0000, 0.0000, 5.3585]],
  "species": ["Sr", "Tl", "Tl", "As"],
  "fractional_positions": [[0.0000, 0.0000, 0.0000], [0.2852, 0.7148, 0.5000], [0.7148, 0.2852, 0.5000], [0.5000, 0.5000, 0.0000]],
  "sg": "Cmmm (65)",
  "total_magnetization_mub_per_fu": 0.00,
  "vol_a3_per_fu": 123.2,
  "mass_density_g_cm3": 7.70,
  "dos_ef_per_ev_atom": 0.485
}

=====

Sorted by energy, starting with the most stable: *one*, *two*.

=====

*one*
{
  "formula": "SrTl2As",
  "functional": "PBE",
  "state": "relaxed",
  "cell": [[5.5205, -2.1055, 0.0000], [5.5205, 2.1055, 0.0000], [-2.5898, 0.0000, 5.3462]],
  "species": ["Sr", "Tl", "Tl", "As"],
  "fractional_positions": [[0.0000, 0.0000, 0.0000], [0.6000, 0.6000, 0.5904], [0.8128, 0.8128, 0.3555], [0.2815, 0.2815, 0.9803]],
  "sg": "Cm (8)",
  "total_magnetization_mub_per_fu": 0.00,
  "vol_a3_per_fu": 124.3,
  "mass_density_g_cm3": 7.63,
  "dos_ef_per_ev_atom": 0.525
}

=====

*two*
{
  "formula": "SrTl2As",
  "functional": "PBE",
  "state": "relaxed",
  "cell": [[4.0385, 0.0000, 0.0000], [0.0000, 4.0385, 0.0000], [0.0000, 0.0000, 7.0723]],
  "species": ["Sr", "Tl", "Tl", "As"],
  "fractional_positions": [[0.0000, 0.0000, 0.0000], [0.5000, 0.5000, 0.2886], [0.5000, 0.5000, 0.7114], [0.0000, 0.0000, 0.5000]],
  "sg": "P4/mmm (123)",
  "total_magnetization_mub_per_fu": 0.00,
  "vol_a3_per_fu": 115.3,
  "mass_density_g_cm3": 8.22,
  "dos_ef_per_ev_atom": 0.537
}

=====

*three*
{
  "formula": "SrTl2As",
  "functional": "PBE",
  "state": "relaxed",
  "cell": [[4.1024, 0.0000, 0.0000], [0.0000, 4.1024, 0.0000], [0.0000, 0.0000, 7.0171]],
  "species": ["Sr", "Tl", "Tl", "As"],
  "fractional_positions": [[0.0000, 0.0000, 0.0000], [0.0000, 0.0000, 0.5426], [0.5000, 0.5000, 0.3205], [0.5000, 0.5000, 0.7623]],
  "sg": "P4mm (99)",
  "total_magnetization_mub_per_fu": 0.00,
  "vol_a3_per_fu": 118.1,
  "mass_density_g_cm3": 8.03,
  "dos_ef_per_ev_atom": 0.514
}

=====

*four*
{
  "formula": "SrTl2As",
  "functional": "PBE",
  "state": "relaxed",
  "cell": [[2.1822, 1.2599, 8.2284], [-2.1822, 1.2599, 8.2284], [0.0000, -2.5198, 8.2284]],
  "species": ["Sr", "Tl", "Tl", "As"],
  "fractional_positions": [[0.0000, 0.0000, 0.0000], [0.5378, 0.5378, 0.5378], [0.7784, 0.7784, 0.7784], [0.2668, 0.2668, 0.2668]],
  "sg": "R3m (160)",
  "total_magnetization_mub_per_fu": 0.00,
  "vol_a3_per_fu": 135.7,
  "mass_density_g_cm3": 6.99,
  "dos_ef_per_ev_atom": 0.628
}

=====

Sorted by energy, starting with the most stable: *one*, *three*, *four*, *two*.

=====

*one*
{
  "formula": "Sr2TlAs",
  "functional": "PBE",
  "state": "relaxed",
  "cell": [[4.6801, 0.0000, 0.0000], [0.0000, 4.6801, 0.0000], [0.0000, 0.0000, 6.5484]],
  "species": ["Sr", "Sr", "Tl", "As"],
  "fractional_positions": [[0.0000, 0.0000, 0.0000], [0.5000, 0.5000, 0.4987], [0.5000, 0.5000, 0.9986], [0.0000, 0.0000, 0.4999]],
  "sg": "P4mm (99)",
  "total_magnetization_mub_per_fu": 0.22,
  "vol_a3_per_fu": 143.4,
  "mass_density_g_cm3": 5.26,
  "dos_ef_per_ev_atom": 1.355
}

=====

*two*
{
  "formula": "Sr2TlAs",
  "functional": "PBE",
  "state": "relaxed",
  "cell": [[-4.3635, 4.3635, 3.8121], [4.3635, -4.3635, 3.8121], [4.3635, 4.3635, -3.8121]],
  "species": ["Sr", "Sr", "Sr", "Sr", "Tl", "Tl", "As", "As"],
  "fractional_positions": [[0.0833, 0.6250, 0.9583], [0.3750, 0.3333, 0.4583], [0.6667, 0.1250, 0.0417], [0.8750, 0.9167, 0.5417], [0.2500, 0.7500, 0.5000], [0.5000, 0.5000, 0.0000], [0.0000, 0.0000, 0.0000], [0.7500, 0.2500, 0.5000]],
  "sg": "I-42d (122)",
  "total_magnetization_mub_per_fu": 0.00,
  "vol_a3_per_fu": 145.2,
  "mass_density_g_cm3": 5.20,
  "dos_ef_per_ev_atom": 0.270
}

=====

Sorted by energy, starting with the most stable: *two*, *one*.